# 1
Here is a relaxed MgMnI4 crystal from Alexandria via LeMat-Bulk. Energies are from PBE-GGA.

Uncorrected formation energy = -0.74 eV/atom
SG = P2/m, No. 10

abc: 4.172 7.693 7.250
angles: 91.72 90.00 90.00
Last column: magnetic moment on the atom in μB.
Positions (direct):
Mg 0.000 0.000 0.000  0.00
I 0.500 0.217 0.175  0.04
I 0.500 0.783 0.825  0.04
I 0.000 0.215 0.671  0.06
Mn 0.500 0.000 0.500  4.36
I 0.000 0.785 0.329  0.06

# 2
Here is a relaxed NaGa2Sn2 crystal from Alexandria via LeMat-Bulk. Energies are from PBE-GGA.

ΔE to the lowest computed polymorph = 0.0483 eV/atom
SG = P4/mbm, No. 127

abc: 7.987 7.987 3.792
angles: 90.00 90.00 90.00
Positions (direct):
Sn 0.666 0.834 0.500
Na 0.500 0.500 0.000
Sn 0.334 0.166 0.500
Na 0.000 0.000 0.000
Ga 0.128 0.372 0.000
Ga 0.872 0.628 0.000
Sn 0.834 0.334 0.500
Sn 0.166 0.666 0.500
Ga 0.628 0.128 0.000
Ga 0.372 0.872 0.000